A plane-wave DFT calculation with PBE was carried out for a relaxed Mo2IrRh6 crystal.

Cell lengths 11.9670, 2.7298, 8.2279 Å; angles 90.00, 103.25, 90.00 degrees
Last column: nearest neighbours and their distance in Å.
Space group C2/m (No. 12)
Inequivalent atoms, fractional coordinates:
Mo1 0.1670 0.0000 0.2244  8 Rh 2.70-2.76, 2 Mo 2.73, 2 Ir 2.75
Ir1 0.0000 0.5000 0.0000  6 Rh 2.72-2.73, 2 Ir 2.73, 4 Mo 2.75
Rh1 0.0007 0.5000 0.6692  1 Ir 2.72, 9 Rh 2.73-2.78, 2 Mo 2.73
Rh2 0.1666 0.0000 0.8919  7 Rh 2.72-2.80, 2 Ir 2.73, 3 Mo 2.73-2.76
Rh3 0.1676 0.0000 0.5522  9 Rh 2.70-2.80, 3 Mo 2.70-2.74

## Properties
uncorrected energy	-8.41	eV/atom
DFT formation energy	-0.122	eV/atom

---

A plane-wave DFT calculation with PBE was carried out for a relaxed NdZnGaPd crystal.

Cell lengths 6.7832, 6.7832, 6.7832 Å; angles 90.00, 90.00, 90.00 degrees
Last column: nearest neighbours and their distance in Å.
Space group F-43m (No. 216)
Inequivalent atoms, fractional coordinates:
Nd1 0.0000 0.0000 0.0000  4 Zn 2.94, 4 Pd 2.94
Zn1 0.2500 0.2500 0.2500  4 Ga 2.94, 4 Nd 2.94
Ga1 0.0000 0.0000 0.5000  4 Pd 2.94, 4 Zn 2.94
Pd1 0.2500 0.2500 0.7500  4 Nd 2.94, 4 Ga 2.94

## Properties
uncorrected energy	-4.09	eV/atom
DFT formation energy	-0.523	eV/atom